# 1
The following is a meta-GGA SCAN calculation of a PBEsol-optimized structure of W3CSe, from Alexandria.

abc: 4.1688 4.1688 4.1688
angles: 90.00 90.00 90.00
Closest atoms and distances in Å follow each position.
Space group Pm-3m (No. 221)
Inequivalent atoms, fractional coordinates:
1 W 0.0000 0.0000 0.5000 [3 per cell]  2 C 2.08
2 C 0.0000 0.0000 0.0000 [1 per cell]  6 W 2.08
3 Se 0.5000 0.5000 0.5000 [1 per cell]  12 W 2.95

Values from the calculation:
Its energy relative to the elements, uncorrected is 882 meV per atom.

***

# 2
The following is a meta-GGA SCAN calculation of a PBEsol-optimized structure of SrCa2Rh2, from Alexandria.

abc: 8.2139 8.2139 3.3776
angles: 90.00 90.00 90.00
Closest atoms and distances in Å follow each position.
Space group P4/mbm (No. 127)
Inequivalent atoms, fractional coordinates:
1 Sr 0.0000 0.0000 0.0000 [2 per cell]  4 Rh 3.09, 2 Sr 3.38
2 Ca 0.1369 0.3631 0.5000 [4 per cell]  6 Rh 2.90-2.97, 1 Ca 3.18
3 Rh 0.1603 0.6603 0.0000 [4 per cell]  6 Ca 2.90-2.97, 2 Sr 3.09

Values from the calculation:
The value obtained for the energy relative to the elements is -0.25 eV per atom.

***

# 3
The following is a meta-GGA SCAN calculation of a PBEsol-optimized structure of Sc2TaGe2, from Alexandria.

abc: 6.9397 6.9397 3.7358
angles: 90.00 90.00 90.00
Closest atoms and distances in Å follow each position.
Space group P4/mbm (No. 127)
Inequivalent atoms, fractional coordinates:
1 Sc 0.1721 0.3279 0.0000 [4 per cell]  6 Ge 2.67-2.84
2 Ta 0.0000 0.0000 0.5000 [2 per cell]  4 Ge 2.71
3 Ge 0.1337 0.6337 0.5000 [4 per cell]  1 Ge 2.62, 6 Sc 2.67-2.84, 2 Ta 2.71

Values from the calculation:
The value obtained for the energy relative to the elements is -0.66 eV per atom.

***

# 4
The following is a meta-GGA SCAN calculation of a PBEsol-optimized structure of SrPtN2, from Alexandria.

abc: 5.8725 5.8725 5.8725
angles: 90.00 90.00 90.00
Closest atoms and distances in Å follow each position.
Space group Fm-3m (No. 225)
Inequivalent atoms, fractional coordinates:
1 Sr 0.0000 0.0000 0.0000 [4 per cell]  8 N 2.54
2 Pt 0.0000 0.0000 0.5000 [4 per cell]  8 N 2.54
3 N 0.2500 0.2500 0.2500 [8 per cell]  4 Sr 2.54, 4 Pt 2.54

Values from the calculation:
Its energy relative to the elements, uncorrected is 851 meV per atom.

***

# 5
The following is a meta-GGA SCAN calculation of a PBEsol-optimized structure of TaCoTe2I, from Alexandria.

abc: 4.8725 4.8725 4.9335
angles: 90.00 90.00 90.00
Closest atoms and distances in Å follow each position.
Space group P4/mmm (No. 123)
Inequivalent atoms, fractional coordinates:
1 Ta 0.0000 0.0000 0.0000 [1 per cell]  4 I 3.45, 8 Te 3.47
2 Co 0.5000 0.5000 0.5000 [1 per cell]  4 Te 2.44, 2 I 2.47
3 Te 0.0000 0.5000 0.5000 [2 per cell]  2 Co 2.44
4 I 0.5000 0.5000 0.0000 [1 per cell]  2 Co 2.47

Values from the calculation:
Its energy relative to the elements, uncorrected is 1000 meV per atom.

***

# 6
The following is a meta-GGA SCAN calculation of a PBEsol-optimized structure of MoBr3, from Alexandria.

abc: 9.5382 9.5382 3.3071
angles: 90.00 90.00 120.00
Closest atoms and distances in Å follow each position.
Space group P6_3/mmc (No. 194)
Inequivalent atoms, fractional coordinates:
1 Mo 0.3333 0.6667 0.2500 [2 per cell]  6 Br 2.57
2 Br 0.2140 0.4281 0.7500 [6 per cell]  2 Mo 2.57

Values from the calculation:
Its energy relative to the elements, uncorrected is -354 meV per atom.

***

# 7
The following is a meta-GGA SCAN calculation of a PBEsol-optimized structure of Zn2CdRe, from Alexandria.

abc: 2.6892 4.0095 5.7083
angles: 90.00 90.00 90.00
Closest atoms and distances in Å follow each position.
Space group Pmmm (No. 47)
Inequivalent atoms, fractional coordinates:
1 Zn 0.0000 0.0000 0.2193 [2 per cell]  3 Zn 2.50-2.69, 4 Re 2.72
2 Cd 0.5000 0.5000 0.5000 [1 per cell]  2 Cd 2.69, 2 Re 2.85, 8 Zn 2.90
3 Re 0.5000 0.5000 0.0000 [1 per cell]  2 Re 2.69, 8 Zn 2.72, 2 Cd 2.85

Values from the calculation:
The value obtained for the energy relative to the elements is 0.31 eV per atom.

***

# 8
The following is a meta-GGA SCAN calculation of a PBEsol-optimized structure of KSiPt, from Alexandria.

abc: 2.8930 3.6109 11.9828
angles: 90.00 90.00 90.00
Closest atoms and distances in Å follow each position.
Space group Imm2 (No. 44)
Inequivalent atoms, fractional coordinates:
1 K 0.0000 0.0000 0.0000 [2 per cell]  2 K 2.89
2 Si 0.0000 0.0000 0.2880 [2 per cell]  4 Pt 2.47
3 Pt 0.0000 0.0000 0.7159 [2 per cell]  4 Si 2.47

Values from the calculation:
Its energy relative to the elements, uncorrected is -378 meV per atom. The calculation puts the relative energy among the computed polymorphs at 0.000 eV/f.u.

***

# 9
The following is a meta-GGA SCAN calculation of a PBEsol-optimized structure of LaY3F, from Alexandria.

abc: 5.6032 5.6032 5.6032
angles: 90.00 90.00 90.00
Closest atoms and distances in Å follow each position.
Space group Pm-3m (No. 221)
Inequivalent atoms, fractional coordinates:
1 La 0.0000 0.0000 0.0000 [1 per cell]  6 Y 2.80
2 Y 0.0000 0.0000 0.5000 [3 per cell]  2 La 2.80
3 F 0.5000 0.5000 0.5000 [1 per cell]  12 Y 3.96

Values from the calculation:
Its energy relative to the elements, uncorrected is 634 meV per atom.

***

# 10
The following is a meta-GGA SCAN calculation of a PBEsol-optimized structure of Ga3B4Pt9, from Alexandria.

abc: 8.6884 8.6884 6.4868
angles: 90.00 90.00 120.00
Closest atoms and distances in Å follow each position.
Space group P-62c (No. 190)
Inequivalent atoms, fractional coordinates:
1 Ga 0.0502 0.5592 0.2500 [6 per cell]  7 Pt 2.49-2.74
2 B 0.0000 0.1783 0.0000 [6 per cell]  6 Pt 2.15-2.28
3 B 0.3333 0.6667 0.7500 [2 per cell]  6 Pt 2.19
4 Pt 0.0069 0.8216 0.2500 [6 per cell]  4 B 2.22-2.28, 1 Ga 2.49
5 Pt 0.1861 0.4586 0.5205 [12 per cell]  2 B 2.15-2.19

Values from the calculation:
The value obtained for the energy relative to the elements is -0.49 eV per atom.

***

# 11
The following is a meta-GGA SCAN calculation of a PBEsol-optimized structure of Li3AsPb, from Alexandria.

abc: 4.7432 4.7432 4.7432
angles: 90.00 90.00 90.00
Closest atoms and distances in Å follow each position.
Space group Pm-3m (No. 221)
Inequivalent atoms, fractional coordinates:
1 Li 0.0000 0.0000 0.5000 [3 per cell]  2 As 2.37
2 As 0.0000 0.0000 0.0000 [1 per cell]  6 Li 2.37
3 Pb 0.5000 0.5000 0.5000 [1 per cell]  12 Li 3.35

Values from the calculation:
The value obtained for the energy relative to the elements is -0.29 eV per atom.

***

# 12
The following is a meta-GGA SCAN calculation of a PBEsol-optimized structure of HgPtW2, from Alexandria.

abc: 3.8689 3.8689 8.6378
angles: 90.00 90.00 90.00
Closest atoms and distances in Å follow each position.
Space group I4/mmm (No. 139)
Inequivalent atoms, fractional coordinates:
1 Hg 0.0000 0.0000 0.0000 [2 per cell]  4 Pt 2.74, 8 W 2.90
2 Pt 0.0000 0.0000 0.5000 [2 per cell]  4 Hg 2.74, 8 W 2.90
3 W 0.0000 0.5000 0.2500 [4 per cell]  4 W 2.74, 4 Hg 2.90, 4 Pt 2.90

Values from the calculation:
The value obtained for the energy relative to the elements is 0.44 eV per atom.

***

DFT total energy values, unit eV per atom, following the record order: -46.97 -22.08 -27.31 -26.91 -38.03 -23.67 -31.82 -29.89 -25.40 -44.90 -20.92 -68.99.